No. 1
PmBMo, relaxed, DFT PBE; DFT formation energy = -0.1154 eV per atom; D(E_F) = 2.7 states/eV/f.u.; total moment = 0.00 Bohr magnetons per cell; final energy = -7.54 eV/atom
1.0
3.6702 0.0000 0.0000
0.0000 3.6702 0.0000
0.0000 0.0000 8.5918
Pm B Mo
2 2 2
Direct
0.2500 0.2500 0.1824 Pm
0.7500 0.7500 0.8176 Pm
0.2500 0.2500 0.6744 B
0.7500 0.7500 0.3256 B
0.2500 0.7500 0.5000 Mo
0.7500 0.2500 0.5000 Mo

No. 2
Nd6ZnCd3, relaxed, DFT PBE; DFT formation energy = -0.2193 eV per atom; D(E_F) = 11.1 states/eV/f.u.; total moment = 0.00 Bohr magnetons per cell; final energy = -3.48 eV/atom
1.0
9.3580 0.0000 0.0000
0.0000 5.4364 0.0000
-3.9006 0.0000 11.3940
Nd Zn Cd
12 2 6
Direct
0.0331 0.2500 0.4123 Nd
0.1658 0.7500 0.1717 Nd
0.2552 0.2500 0.9999 Nd
0.3554 0.7500 0.8160 Nd
0.3648 0.2500 0.3464 Nd
0.4094 0.2500 0.6344 Nd
0.5906 0.7500 0.3656 Nd
0.6352 0.7500 0.6536 Nd
0.6446 0.2500 0.1840 Nd
0.7448 0.7500 0.0001 Nd
0.8342 0.2500 0.8283 Nd
0.9669 0.7500 0.5877 Nd
0.4568 0.7500 0.0913 Zn
0.5432 0.2500 0.9087 Zn
0.0325 0.7500 0.8744 Cd
0.1099 0.2500 0.7182 Cd
0.2690 0.7500 0.4744 Cd
0.7310 0.2500 0.5256 Cd
0.8901 0.7500 0.2818 Cd
0.9675 0.2500 0.1256 Cd

- Look up the total moment of the second one.
  0.00 Bohr magnetons per cell

- Look up the final energy of the second one.
  -3.48 eV/atom